a) First-principles (GGA-PBE) data for an optimized crystal structure of SrZn3Pt, as listed in Alexandria.

## Properties
DOS at the Fermi energy	1.71	states/eV per cell
total magnetic moment	0.00	μB/f.u.

Cell: 5.699 5.699 5.699 Å, 90.00 90.00 90.00°
Sites, in units of the cell vectors:
Zn 0.000 0.500 0.000
Pt 0.500 0.500 0.500
Zn 0.500 0.000 0.000
Zn 0.000 0.000 0.500
Sr 0.000 0.000 0.000

b) First-principles (GGA-PBE) data for an optimized crystal structure of SrZn3Pt, as listed in Alexandria.

## Properties
DOS at the Fermi energy	1.04	states/eV per cell
total magnetic moment	0.00	μB/f.u.

Cell: 4.889 4.889 4.889 Å, 90.00 90.00 90.00°
Sites, in units of the cell vectors:
Zn 0.000 0.500 0.000
Sr 0.500 0.500 0.500
Pt 0.000 0.000 0.000
Zn 0.000 0.000 0.500
Zn 0.500 0.000 0.000

b) ends up most stable, edging out the next structure by 1709 meV/atom.

a) First-principles (GGA-PBE) data for an optimized crystal structure of SrZn3Pt, as listed in Alexandria.

## Properties
DOS at the Fermi energy	1.45	states/eV per cell
total magnetic moment	0.00	μB/f.u.

Cell: 4.325 4.325 6.302 Å, 69.85 69.86 89.57°
Sites, in units of the cell vectors:
Zn 0.648 0.953 0.409
Zn 0.787 0.590 0.131
Sr 0.407 0.210 0.891
Pt 0.017 0.821 0.671
Zn 0.149 0.451 0.409

b) First-principles (GGA-PBE) data for an optimized crystal structure of SrZn3Pt, as listed in Alexandria.

## Properties
DOS at the Fermi energy	4.22	states/eV per cell
total magnetic moment	0.00	μB/f.u.

Cell: 6.138 6.166 6.138 Å, 90.00 62.87 90.00°
Sites, in units of the cell vectors:
Pt 0.644 0.250 0.144
Sr 0.238 0.250 0.738
Zn 0.886 0.250 0.386
Pt 0.356 0.750 0.856
Zn 0.724 0.000 0.776
Zn 0.276 0.500 0.224
Zn 0.276 0.000 0.224
Sr 0.762 0.750 0.262
Zn 0.724 0.500 0.776
Zn 0.114 0.750 0.614

a) ends up most stable, edging out the next structure by 5 meV/atom.

a) First-principles (GGA-PBE) data for an optimized crystal structure of Sr4ZnPt, as listed in Alexandria.

## Properties
DOS at the Fermi energy	8.62	states/eV per cell
total magnetic moment	0.00	μB/f.u.

Cell: 6.748 6.748 6.748 Å, 60.00 60.00 60.00°
Sites, in units of the cell vectors:
Sr 0.374 0.374 0.877
Sr 0.877 0.374 0.374
Pt 0.000 0.000 0.000
Sr 0.374 0.877 0.374
Zn 0.750 0.750 0.750
Sr 0.374 0.374 0.374

b) First-principles (GGA-PBE) data for an optimized crystal structure of Sr4ZnPt, as listed in Alexandria.

## Properties
DOS at the Fermi energy	9.37	states/eV per cell
total magnetic moment	0.00	μB/f.u.

Cell: 7.596 7.842 9.353 Å, 70.86 66.10 89.97°
Sites, in units of the cell vectors:
Pt 0.000 0.000 0.500
Sr 0.896 0.364 0.319
Sr 0.216 0.137 0.681
Pt 0.500 0.500 0.500
Sr 0.104 0.636 0.681
Zn 0.224 0.750 0.999
Sr 0.330 0.003 0.207
Sr 0.670 0.997 0.793
Sr 0.539 0.498 0.792
Sr 0.784 0.863 0.319
Sr 0.461 0.502 0.208
Zn 0.776 0.250 0.001

b) ends up most stable, edging out the next structure by 966 meV/atom.

a) First-principles (GGA-PBE) data for an optimized crystal structure of Sr3Zn4Pt4, as listed in Alexandria.

## Properties
DOS at the Fermi energy	4.77	states/eV per cell
total magnetic moment	0.00	μB/f.u.

Cell: 4.350 4.265 13.631 Å, 99.01 99.39 89.95°
Sites, in units of the cell vectors:
Pt 0.550 0.549 0.101
Sr 0.353 0.853 0.706
Zn 0.099 0.598 0.198
Pt 0.805 0.304 0.610
Zn 0.901 0.402 0.802
Pt 0.195 0.696 0.390
Sr 0.000 0.000 0.000
Zn 0.250 0.251 0.501
Pt 0.450 0.451 0.899
Zn 0.750 0.749 0.499
Sr 0.647 0.147 0.294

b) First-principles (GGA-PBE) data for an optimized crystal structure of Sr3Zn4Pt4, as listed in Alexandria.

## Properties
DOS at the Fermi energy	8.09	states/eV per cell
total magnetic moment	0.00	μB/f.u.

Cell: 6.831 6.831 6.831 Å, 109.47 109.47 109.47°
Sites, in units of the cell vectors:
Sr 0.500 0.000 0.500
Sr 0.000 0.500 0.500
Pt 0.614 0.000 0.000
Pt 0.000 0.614 0.000
Zn 0.000 0.000 0.249
Pt 0.386 0.386 0.386
Zn 0.249 0.000 0.000
Sr 0.500 0.500 0.000
Zn 0.751 0.751 0.751
Zn 0.000 0.249 0.000
Pt 0.000 0.000 0.614

a) ends up most stable, edging out the next structure by 49 meV/atom.

a) First-principles (GGA-PBE) data for an optimized crystal structure of Sr8Zn2Pt, as listed in Alexandria.

## Properties
DOS at the Fermi energy	13.39	states/eV per cell
total magnetic moment	0.00	μB/f.u.

Cell: 5.645 7.571 10.597 Å, 104.20 105.45 90.00°
Sites, in units of the cell vectors:
Zn 0.810 0.262 0.620
Sr 0.588 0.414 0.176
Sr 0.214 0.319 0.429
Sr 0.346 0.034 0.692
Sr 0.412 0.586 0.824
Zn 0.190 0.738 0.380
Pt 0.500 0.000 0.000
Sr 0.967 0.198 0.934
Sr 0.654 0.966 0.308
Sr 0.033 0.802 0.066
Sr 0.786 0.681 0.571

b) First-principles (GGA-PBE) data for an optimized crystal structure of Sr8Zn2Pt, as listed in Alexandria.

## Properties
DOS at the Fermi energy	11.13	states/eV per cell
total magnetic moment	0.00	μB/f.u.

Cell: 8.112 8.242 8.401 Å, 91.65 118.87 90.00°
Sites, in units of the cell vectors:
Sr 0.296 0.610 0.592
Sr 0.802 0.885 0.605
Pt 0.000 0.000 0.000
Sr 0.706 0.246 0.912
Sr 0.794 0.754 0.088
Sr 0.294 0.754 0.088
Sr 0.704 0.390 0.408
Zn 0.911 0.543 0.822
Zn 0.089 0.457 0.178
Sr 0.206 0.246 0.912
Sr 0.198 0.115 0.395

b) ends up most stable, edging out the next structure by 22 meV/atom.

a) First-principles (GGA-PBE) data for an optimized crystal structure of Sr2ZrPt, as listed in Alexandria.

## Properties
DOS at the Fermi energy	6.50	states/eV per cell
total magnetic moment	1.01	μB/f.u.

Cell: 11.009 11.009 8.202 Å, 47.85 47.85 90.00°
Site moments in Bohr magnetons follow the coordinates.
Sites, in units of the cell vectors:
Zr 0.500 0.500 0.000  0.47
Sr 0.875 0.019 0.750  0.02
Pt 0.000 0.000 0.000  0.01
Sr 0.981 0.625 0.250  0.02
Pt 0.750 0.250 0.500  0.01
Sr 0.375 0.231 0.750  0.02
Zr 0.250 0.750 0.500  0.47
Sr 0.769 0.125 0.250  0.02

b) First-principles (GGA-PBE) data for an optimized crystal structure of Sr2ZrPt, as listed in Alexandria.

## Properties
DOS at the Fermi energy	4.18	states/eV per cell
total magnetic moment	1.64	μB/f.u.

Cell: 3.546 3.547 10.168 Å, 69.54 90.00 90.00°
Site moments in Bohr magnetons follow the coordinates.
Sites, in units of the cell vectors:
Sr 0.000 0.055 0.945  0.02
Zr 0.500 0.250 0.250  0.83
Sr 0.000 0.445 0.555  0.02
Pt 0.500 0.750 0.750  0.04

c) First-principles (GGA-PBE) data for an optimized crystal structure of Sr2ZrPt, as listed in Alexandria.

## Properties
DOS at the Fermi energy	3.67	states/eV per cell
total magnetic moment	0.39	μB/f.u.

Cell: 5.278 5.278 5.278 Å, 60.00 60.00 60.00°
Site moments in Bohr magnetons follow the coordinates.
Sites, in units of the cell vectors:
Zr 0.750 0.750 0.750  0.22
Sr 0.000 0.000 0.000  0.02
Pt 0.500 0.500 0.500  0.00
Sr 0.250 0.250 0.250  0.02

b) ends up most stable, edging out the next structure by 28 meV/atom.

a) First-principles (GGA-PBE) data for an optimized crystal structure of Sr2ZrPt, as listed in Alexandria.

## Properties
DOS at the Fermi energy	5.53	states/eV per cell
total magnetic moment	3.72	μB/f.u.

Cell: 5.470 5.470 5.470 Å, 60.00 60.00 60.00°
Site moments in Bohr magnetons follow the coordinates.
Sites, in units of the cell vectors:
Zr 0.000 0.000 0.000  1.71
Sr 0.250 0.250 0.250  0.16
Pt 0.500 0.500 0.500  0.04
Sr 0.750 0.750 0.750  0.16

b) First-principles (GGA-PBE) data for an optimized crystal structure of Sr2ZrPt, as listed in Alexandria.

## Properties
DOS at the Fermi energy	3.52	states/eV per cell
total magnetic moment	0.00	μB/f.u.

Cell: 3.769 3.823 9.697 Å, 78.60 90.00 90.00°
Sites, in units of the cell vectors:
Sr 0.000 0.846 0.932
Zr 0.000 0.515 0.595
Pt 0.500 0.983 0.659
Sr 0.500 0.156 0.315

b) ends up most stable, edging out the next structure by 676 meV/atom.

a) First-principles (GGA-PBE) data for an optimized crystal structure of Sr2ZrPt, as listed in Alexandria.

## Properties
DOS at the Fermi energy	1.66	states/eV per cell
total magnetic moment	1.94	μB/f.u.

Cell: 10.265 10.265 10.265 Å, 21.63 21.63 21.63°
Site moments in Bohr magnetons follow the coordinates.
Sites, in units of the cell vectors:
Zr 0.250 0.250 0.250  0.94
Sr 0.018 0.018 0.018  0.02
Sr 0.482 0.482 0.482  0.02
Pt 0.750 0.750 0.750  0.03

b) First-principles (GGA-PBE) data for an optimized crystal structure of Sr2ZrPt, as listed in Alexandria.

## Properties
DOS at the Fermi energy	3.72	states/eV per cell
total magnetic moment	0.00	μB/f.u.

Cell: 5.333 4.443 4.443 Å, 90.00 90.00 90.00°
Sites, in units of the cell vectors:
Sr 0.000 0.000 0.000
Pt 0.500 0.000 0.500
Zr 0.500 0.500 0.000
Sr 0.000 0.500 0.500

a) ends up most stable, edging out the next structure by 54 meV/atom.

a) First-principles (GGA-PBE) data for an optimized crystal structure of Sr2ZrPt, as listed in Alexandria.

## Properties
DOS at the Fermi energy	4.92	states/eV per cell
total magnetic moment	0.00	μB/f.u.

Cell: 5.666 5.666 3.697 Å, 90.03 90.03 111.05°
Sites, in units of the cell vectors:
Sr 0.500 0.500 0.000
Zr 0.500 0.000 0.500
Pt 0.000 0.500 0.500
Sr 0.000 0.000 0.000

b) First-principles (GGA-PBE) data for an optimized crystal structure of Sr2ZrPt, as listed in Alexandria.

## Properties
DOS at the Fermi energy	4.80	states/eV per cell
total magnetic moment	0.00	μB/f.u.

Cell: 6.237 6.237 6.237 Å, 138.60 138.60 59.99°
Sites, in units of the cell vectors:
Sr 0.500 0.500 0.000
Zr 0.250 0.750 0.500
Sr 0.000 0.000 0.000
Pt 0.750 0.250 0.500

b) ends up most stable, edging out the next structure by 56 meV/atom.

a) First-principles (GGA-PBE) data for an optimized crystal structure of Ta3Pt5, as listed in Alexandria.

## Properties
DOS at the Fermi energy	6.04	states/eV per cell
total magnetic moment	0.00	μB/f.u.

Cell: 5.727 5.727 3.970 Å, 90.00 90.00 90.50°
Sites, in units of the cell vectors:
Ta 0.244 0.244 0.500
Pt 0.500 0.000 0.000
Pt 0.000 0.500 0.000
Pt 0.257 0.743 0.500
Ta 0.500 0.500 0.000
Ta 0.756 0.756 0.500
Pt 0.000 0.000 0.000
Pt 0.743 0.257 0.500

b) First-principles (GGA-PBE) data for an optimized crystal structure of Ta3Pt5, as listed in Alexandria.

## Properties
DOS at the Fermi energy	10.28	states/eV per cell
total magnetic moment	0.00	μB/f.u.

Cell: 7.829 7.830 5.421 Å, 90.00 90.00 60.00°
Sites, in units of the cell vectors:
Ta 0.000 0.689 0.750
Pt 0.333 0.333 0.500
Pt 0.333 0.333 0.000
Pt 0.654 0.346 0.250
Pt 0.000 0.653 0.250
Pt 0.653 0.000 0.750
Pt 0.000 0.347 0.750
Ta 0.311 0.000 0.750
Pt 0.346 0.654 0.750
Ta 0.689 0.311 0.750
Pt 0.347 0.000 0.250
Ta 0.000 0.311 0.250
Ta 0.311 0.689 0.250
Ta 0.689 0.000 0.250
Pt 0.667 0.667 0.000
Pt 0.667 0.667 0.500

a) ends up most stable, edging out the next structure by 158 meV/atom.

a) First-principles (GGA-PBE) data for an optimized crystal structure of Ta11Pt4, as listed in Alexandria.

## Properties
DOS at the Fermi energy	25.48	states/eV per cell
total magnetic moment	0.00	μB/f.u.

Cell: 5.226 10.006 10.006 Å, 90.00 90.00 90.00°
Sites, in units of the cell vectors:
Ta 0.000 0.898 0.102
Ta 0.000 0.102 0.898
Ta 0.247 0.183 0.183
Ta 0.747 0.317 0.683
Pt 0.500 0.932 0.263
Pt 0.000 0.432 0.237
Ta 0.753 0.817 0.817
Ta 0.247 0.817 0.817
Ta 0.253 0.317 0.683
Pt 0.000 0.763 0.568
Ta 0.500 0.539 0.873
Ta 0.000 0.500 0.500
Ta 0.500 0.461 0.127
Pt 0.000 0.237 0.432
Pt 0.500 0.737 0.068
Ta 0.000 0.627 0.039
Pt 0.500 0.263 0.932
Ta 0.000 0.961 0.373
Ta 0.000 0.373 0.961
Pt 0.000 0.568 0.763
Ta 0.753 0.183 0.183
Pt 0.500 0.068 0.737
Ta 0.000 0.039 0.627
Ta 0.500 0.000 0.000
Ta 0.500 0.127 0.461
Ta 0.500 0.873 0.539
Ta 0.500 0.398 0.398
Ta 0.500 0.602 0.602
Ta 0.253 0.683 0.317
Ta 0.747 0.683 0.317

b) First-principles (GGA-PBE) data for an optimized crystal structure of Ta11Pt4, as listed in Alexandria.

## Properties
DOS at the Fermi energy	14.16	states/eV per cell
total magnetic moment	0.00	μB/f.u.

Cell: 10.049 10.049 5.267 Å, 90.00 90.00 90.00°
Sites, in units of the cell vectors:
Ta 0.067 0.270 0.000
Pt 0.138 0.538 0.000
Ta 0.104 0.104 0.500
Ta 0.500 0.500 0.500
Ta 0.567 0.230 0.500
Ta 0.321 0.321 0.249
Ta 0.821 0.179 0.749
Ta 0.179 0.821 0.251
Pt 0.962 0.638 0.500
Ta 0.433 0.770 0.500
Ta 0.679 0.679 0.249
Pt 0.362 0.038 0.500
Ta 0.933 0.730 0.000
Pt 0.462 0.862 0.000
Ta 0.270 0.067 0.000
Ta 0.321 0.321 0.751
Ta 0.179 0.821 0.749
Ta 0.770 0.433 0.500
Ta 0.000 0.000 0.000
Pt 0.038 0.362 0.500
Pt 0.638 0.962 0.500
Ta 0.730 0.933 0.000
Ta 0.604 0.396 0.000
Ta 0.821 0.179 0.251
Ta 0.230 0.567 0.500
Ta 0.679 0.679 0.751
Ta 0.896 0.896 0.500
Ta 0.396 0.604 0.000
Pt 0.862 0.462 0.000
Pt 0.538 0.138 0.000

a) ends up most stable, edging out the next structure by 50 meV/atom.